(1)
First-principles (PBE-GGA) data for crystalline Sm2BeAu at its relaxed geometry, as listed in Alexandria.

It has space group P4/mmm (No. 123), with a = 3.612 Å, b = 3.612 Å, c = 7.033 Å, α = 90.00°, β = 90.00° and γ = 90.00°. The inequivalent atoms are Sm at (0.000, 0.000, 0.236), Be at (0.500, 0.500, 0.000) and Au at (0.500, 0.500, 0.500).

***

(2)
First-principles (PBE-GGA) data for crystalline Pr2ZnIn at its relaxed geometry, as listed in Alexandria.

It has space group R-3m (No. 166, hexagonal axes), with a = 3.8547 Å, b = 3.8547 Å, c = 28.3475 Å, α = 90.00°, β = 90.00° and γ = 120.00°. The inequivalent atoms are Pr at (0.0000, 0.0000, 0.2451), Zn at (0.0000, 0.0000, 0.5000) and In at (0.0000, 0.0000, 0.0000).

***

(3)
First-principles (PBE-GGA) data for crystalline NdTm4Hg2 at its relaxed geometry, as listed in Alexandria.

It has space group R-3m (No. 166, hexagonal axes), with a = 4.9811 Å, b = 4.9811 Å, c = 30.8484 Å, α = 90.00°, β = 90.00° and γ = 120.00°. The inequivalent atoms are Nd at (0.0000, 0.0000, 0.0000), Tm at (0.0000, 0.0000, 0.2020), Tm at (0.0000, 0.0000, 0.3961) and Hg at (0.0000, 0.0000, 0.1023).

***

| no. | energy relative to the elements (eV per atom) | spin magnetization (μB per formula unit) |
| --- | --- | --- |
| 1 | -0.3168 | 0.000 |
| 2 | -0.1881 | 0.000 |
| 3 | 0.0247 | 0.003 |